# Rb5Hg2Bi | Alexandria via LeMat-Bulk | PBE | optimized geometry
# Formation energy, meV per atom: -252
# D(E_F), states/eV per cell: 21.4
data_Rb5Hg2Bi
_chemical_formula_sum 'Rb20 Hg8 Bi4'
_cell_length_a 9.4739
_cell_length_b 9.4739
_cell_length_c 17.9953
_cell_angle_alpha 90.00
_cell_angle_beta 90.00
_cell_angle_gamma 90.00
_symmetry_space_group_name_H-M 'I 4/m c m'
_symmetry_Int_Tables_number 140
_symmetry_space_group_name_Hall '-I 4 2c'
loop_
_atom_site_label
_atom_site_type_symbol
_atom_site_fract_x
_atom_site_fract_y
_atom_site_fract_z
_atom_site_occupancy
Rb1 Rb 0.0000 0.0000 0.0000 1
Rb2 Rb 0.1808 0.3192 0.1501 1
Hg1 Hg 0.1134 0.3866 0.5000 1
Bi1 Bi 0.0000 0.0000 0.2500 1

---

# Rb2HgBi2 | Alexandria via LeMat-Bulk | PBE | optimized geometry
# Formation energy, meV per atom: -285
# D(E_F), states/eV per cell: 3.2
# ΔE to the lowest computed polymorph, meV/atom: 0
data_Rb2HgBi2
_chemical_formula_sum 'Rb8 Hg4 Bi8'
_cell_length_a 13.8705
_cell_length_b 5.3579
_cell_length_c 13.1068
_cell_angle_alpha 90.00
_cell_angle_beta 116.06
_cell_angle_gamma 90.00
_symmetry_space_group_name_H-M 'C 1 2/m 1'
_symmetry_Int_Tables_number 12
_symmetry_space_group_name_Hall '-C 2y'
loop_
_atom_site_label
_atom_site_type_symbol
_atom_site_fract_x
_atom_site_fract_y
_atom_site_fract_z
_atom_site_occupancy
Rb1 Rb 0.1094 0.0000 0.4060 1
Rb2 Rb 0.2084 0.5000 0.1519 1
Hg1 Hg 0.0458 0.5000 0.8045 1
Bi1 Bi 0.0536 0.0000 0.9187 1
Bi2 Bi 0.1039 0.5000 0.6085 1

---

# Rb2HgBi2 | Alexandria via LeMat-Bulk | PBE | optimized geometry
# Formation energy, meV per atom: -154
# D(E_F), states/eV per cell: 9.5
# ΔE to the lowest computed polymorph, meV/atom: 131
data_Rb2HgBi2
_chemical_formula_sum 'Rb4 Hg2 Bi4'
_cell_length_a 4.5882
_cell_length_b 4.5882
_cell_length_c 22.0263
_cell_angle_alpha 90.00
_cell_angle_beta 90.00
_cell_angle_gamma 90.00
_symmetry_space_group_name_H-M 'I 4/m m m'
_symmetry_Int_Tables_number 139
_symmetry_space_group_name_Hall '-I 4 2'
loop_
_atom_site_label
_atom_site_type_symbol
_atom_site_fract_x
_atom_site_fract_y
_atom_site_fract_z
_atom_site_occupancy
Rb1 Rb 0.0000 0.0000 0.1077 1
Hg1 Hg 0.0000 0.0000 0.5000 1
Bi1 Bi 0.0000 0.5000 0.2500 1

---

# RbHg5Bi | Alexandria via LeMat-Bulk | PBE | optimized geometry
# Formation energy, meV per atom: -57
# D(E_F), states/eV per cell: 4.7
data_RbHg5Bi
_chemical_formula_sum 'Rb2 Hg10 Bi2'
_cell_length_a 7.2568
_cell_length_b 10.5775
_cell_length_c 7.6274
_cell_angle_alpha 90.00
_cell_angle_beta 90.00
_cell_angle_gamma 90.00
_symmetry_space_group_name_H-M 'I m m 2'
_symmetry_Int_Tables_number 44
_symmetry_space_group_name_Hall 'I 2 -2'
loop_
_atom_site_label
_atom_site_type_symbol
_atom_site_fract_x
_atom_site_fract_y
_atom_site_fract_z
_atom_site_occupancy
Rb1 Rb 0.0000 0.0000 0.0000 1
Hg1 Hg 0.0000 0.2348 0.5649 1
Hg2 Hg 0.0000 0.5000 0.2906 1
Hg3 Hg 0.2265 0.0000 0.5074 1
Bi1 Bi 0.0000 0.5000 0.7063 1

---

# Rb3Hg8Bi | Alexandria via LeMat-Bulk | PBE | optimized geometry
# Formation energy, meV per atom: -171
# D(E_F), states/eV per cell: 17.9
data_Rb3Hg8Bi
_chemical_formula_sum 'Rb9 Hg24 Bi3'
_cell_length_a 6.6619
_cell_length_b 6.6619
_cell_length_c 31.1277
_cell_angle_alpha 90.00
_cell_angle_beta 90.00
_cell_angle_gamma 120.00
_symmetry_space_group_name_H-M 'R 3 m'
_symmetry_Int_Tables_number 160
_symmetry_space_group_name_Hall 'R 3 -2"'
loop_
_atom_site_label
_atom_site_type_symbol
_atom_site_fract_x
_atom_site_fract_y
_atom_site_fract_z
_atom_site_occupancy
Rb1 Rb 0.0000 0.0000 0.0000 1
Rb2 Rb 0.0000 0.0000 0.1283 1
Rb3 Rb 0.0000 0.0000 0.5135 1
Hg1 Hg 0.0000 0.0000 0.3148 1
Hg2 Hg 0.0000 0.0000 0.8148 1
Hg3 Hg 0.0046 0.5023 0.0659 1
Hg4 Hg 0.1675 0.3349 0.9000 1
Bi1 Bi 0.0000 0.0000 0.6463 1

---

# Rb8Hg2Bi | Alexandria via LeMat-Bulk | PBE | optimized geometry
# Formation energy, meV per atom: -179
# D(E_F), states/eV per cell: 9.7
data_Rb8Hg2Bi
_chemical_formula_sum 'Rb16 Hg4 Bi2'
_cell_length_a 24.5648
_cell_length_b 6.1608
_cell_length_c 9.2115
_cell_angle_alpha 90.00
_cell_angle_beta 111.98
_cell_angle_gamma 90.00
_symmetry_space_group_name_H-M 'C 1 m 1'
_symmetry_Int_Tables_number 8
_symmetry_space_group_name_Hall 'C -2y'
loop_
_atom_site_label
_atom_site_type_symbol
_atom_site_fract_x
_atom_site_fract_y
_atom_site_fract_z
_atom_site_occupancy
Rb1 Rb 0.0000 0.0000 0.0000 1
Rb2 Rb 0.0000 0.5000 0.3362 1
Rb3 Rb 0.0928 0.0000 0.7032 1
Rb4 Rb 0.1439 0.5000 0.0960 1
Rb5 Rb 0.2156 0.5000 0.6403 1
Rb6 Rb 0.2845 0.0000 0.2093 1
Rb7 Rb 0.3561 0.0000 0.8082 1
Rb8 Rb 0.4073 0.5000 0.5177 1
Hg1 Hg 0.1518 0.0000 0.3668 1
Hg2 Hg 0.3483 0.5000 0.0626 1
Bi1 Bi 0.0000 0.5000 0.7430 1